No. 1
Compound: SrCoI
Source: the Alexandria database
Functional: GGA-PBE
Structure: optimized geometry

Computed properties:
Uncorrected energy = -3.84 eV per atom
Magnetic moment = 1.21 μB/f.u.
SG = Cm (8)
Uncorrected formation energy = -0.40 eV/atom

Cell and atoms, written as CIF:
```
data_SrCoI
_chemical_formula_sum 'Sr2 Co2 I2'
_cell_length_a 4.074
_cell_length_b 9.009
_cell_length_c 5.424
_cell_angle_alpha 77.90
_cell_angle_beta 90.00
_cell_angle_gamma 103.07
_space_group_name_H-M_alt 'P 1'
_space_group_IT_number 1
_space_group_name_Hall 'P 1'
loop_
_atom_site_label
_atom_site_fract_x
_atom_site_fract_y
_atom_site_fract_z
I1 0.389 0.333 0.269
I2 0.565 0.685 0.652
Sr1 0.762 0.078 0.674
Sr2 0.062 0.678 0.153
Co1 0.243 0.041 0.165
Co2 0.684 0.923 0.236
```

No. 2
Compound: SrCoI
Source: the Alexandria database
Functional: GGA-PBE
Structure: optimized geometry

Computed properties:
Uncorrected energy = -3.80 eV per atom
Magnetic moment = 1.02 μB/f.u.
SG = Pm (6)
Uncorrected formation energy = -0.36 eV/atom

Cell and atoms, written as CIF:
```
data_SrCoI
_chemical_formula_sum 'Sr2 Co2 I2'
_cell_length_a 4.001
_cell_length_b 5.481
_cell_length_c 9.021
_cell_angle_alpha 89.99
_cell_angle_beta 77.24
_cell_angle_gamma 90.00
_space_group_name_H-M_alt 'P 1'
_space_group_IT_number 1
_space_group_name_Hall 'P 1'
loop_
_atom_site_label
_atom_site_fract_x
_atom_site_fract_y
_atom_site_fract_z
I1 0.816 0.456 0.824
I2 0.484 0.956 0.491
Sr1 0.280 0.956 0.897
Sr2 0.612 0.456 0.235
Co1 0.090 0.956 0.279
Co2 0.649 0.956 0.161
```

No. 3
Compound: SrCoI
Source: the Alexandria database
Functional: GGA-PBE
Structure: optimized geometry

Computed properties:
Uncorrected energy = -4.00 eV per atom
Magnetic moment = 1.05 μB/f.u.
SG = P1 (1)
Uncorrected formation energy = -0.55 eV/atom

Cell and atoms, written as CIF:
```
data_SrCoI
_chemical_formula_sum 'Sr2 Co2 I2'
_cell_length_a 4.153
_cell_length_b 13.282
_cell_length_c 4.154
_cell_angle_alpha 99.04
_cell_angle_beta 59.99
_cell_angle_gamma 98.90
_space_group_name_H-M_alt 'P 1'
_space_group_IT_number 1
_space_group_name_Hall 'P 1'
loop_
_atom_site_label
_atom_site_fract_x
_atom_site_fract_y
_atom_site_fract_z
I1 0.155 0.296 0.071
I2 0.935 0.617 0.840
Sr1 0.436 0.132 0.349
Sr2 0.321 0.781 0.230
Co1 0.712 0.956 0.623
Co2 0.045 0.956 0.956
```

No. 4
Compound: SrCoI
Source: the Alexandria database
Functional: GGA-PBE
Structure: optimized geometry

Computed properties:
Uncorrected energy = -3.30 eV per atom
Magnetic moment = 0.00 μB/f.u.
SG = F-43m (216)
Uncorrected formation energy = 0.14 eV/atom

Cell and atoms, written as CIF:
```
data_SrCoI
_chemical_formula_sum 'Sr1 Co1 I1'
_cell_length_a 4.697
_cell_length_b 4.697
_cell_length_c 4.697
_cell_angle_alpha 60.00
_cell_angle_beta 60.00
_cell_angle_gamma 60.00
_space_group_name_H-M_alt 'P 1'
_space_group_IT_number 1
_space_group_name_Hall 'P 1'
loop_
_atom_site_label
_atom_site_fract_x
_atom_site_fract_y
_atom_site_fract_z
I1 0.250 0.250 0.250
Sr1 0.750 0.750 0.750
Co1 0.500 0.500 0.500
```

No. 5
Compound: SrCoI
Source: the Alexandria database
Functional: GGA-PBE
Structure: optimized geometry

Computed properties:
Uncorrected energy = -3.59 eV per atom
Magnetic moment = 0.00 μB/f.u.
SG = Pnma (62)
Uncorrected formation energy = -0.14 eV/atom

Cell and atoms, written as CIF:
```
data_SrCoI
_chemical_formula_sum 'Sr4 Co4 I4'
_cell_length_a 10.025
_cell_length_b 4.109
_cell_length_c 7.877
_cell_angle_alpha 90.00
_cell_angle_beta 90.00
_cell_angle_gamma 90.00
_space_group_name_H-M_alt 'P 1'
_space_group_IT_number 1
_space_group_name_Hall 'P 1'
loop_
_atom_site_label
_atom_site_fract_x
_atom_site_fract_y
_atom_site_fract_z
I1 0.000 0.250 0.740
I2 0.500 0.750 0.240
I3 0.000 0.750 0.260
I4 0.500 0.250 0.760
Sr1 0.758 0.250 0.422
Sr2 0.742 0.750 0.922
Sr3 0.242 0.750 0.578
Sr4 0.258 0.250 0.078
Co1 0.467 0.250 0.423
Co2 0.033 0.750 0.923
Co3 0.533 0.750 0.577
Co4 0.967 0.250 0.077
```

No. 6
Compound: SrCoI
Source: the Alexandria database
Functional: GGA-PBE
Structure: optimized geometry

Computed properties:
Uncorrected energy = -3.03 eV per atom
Magnetic moment = 0.06 μB/f.u.
SG = P6_3/mmc (194)
Uncorrected formation energy = 0.41 eV/atom

Cell and atoms, written as CIF:
```
data_SrCoI
_chemical_formula_sum 'Sr2 Co2 I2'
_cell_length_a 5.542
_cell_length_b 5.542
_cell_length_c 9.266
_cell_angle_alpha 90.00
_cell_angle_beta 90.00
_cell_angle_gamma 120.00
_space_group_name_H-M_alt 'P 1'
_space_group_IT_number 1
_space_group_name_Hall 'P 1'
loop_
_atom_site_label
_atom_site_fract_x
_atom_site_fract_y
_atom_site_fract_z
I1 0.000 0.000 0.250
I2 0.000 0.000 0.750
Sr1 0.333 0.667 0.250
Sr2 0.667 0.333 0.750
Co1 0.000 0.000 0.000
Co2 0.000 0.000 0.500
```

No. 7
Compound: SrCo3I
Source: the Alexandria database
Functional: GGA-PBE
Structure: optimized geometry

Computed properties:
Uncorrected energy = -4.03 eV per atom
Magnetic moment = 2.15 μB/f.u.
SG = Pm-3m (221)
Uncorrected formation energy = 0.88 eV/atom
Energy above the lowest structure with this stoichiometry = 0.000 eV/atom

Cell and atoms, written as CIF:
```
data_SrCo3I
_chemical_formula_sum 'Sr1 Co3 I1'
_cell_length_a 4.724
_cell_length_b 4.724
_cell_length_c 4.724
_cell_angle_alpha 90.00
_cell_angle_beta 90.00
_cell_angle_gamma 90.00
_space_group_name_H-M_alt 'P 1'
_space_group_IT_number 1
_space_group_name_Hall 'P 1'
loop_
_atom_site_label
_atom_site_fract_x
_atom_site_fract_y
_atom_site_fract_z
I1 0.000 0.000 0.000
Sr1 0.500 0.500 0.500
Co1 0.000 0.500 0.000
Co2 0.000 0.000 0.500
Co3 0.500 0.000 0.000
```

No. 8
Compound: SrCoI
Source: the Alexandria database
Functional: GGA-PBE
Structure: optimized geometry

Computed properties:
Uncorrected energy = -3.34 eV per atom
Magnetic moment = 0.93 μB/f.u.
SG = Cmcm (63)
Uncorrected formation energy = 0.11 eV/atom

Cell and atoms, written as CIF:
```
data_SrCoI
_chemical_formula_sum 'Sr4 Co4 I4'
_cell_length_a 10.691
_cell_length_b 7.268
_cell_length_c 4.045
_cell_angle_alpha 90.00
_cell_angle_beta 90.00
_cell_angle_gamma 90.00
_space_group_name_H-M_alt 'P 1'
_space_group_IT_number 1
_space_group_name_Hall 'P 1'
loop_
_atom_site_label
_atom_site_fract_x
_atom_site_fract_y
_atom_site_fract_z
I1 0.000 0.000 0.000
I2 0.500 0.500 0.500
I3 0.500 0.000 0.500
I4 0.000 0.500 0.000
Sr1 0.713 0.250 0.999
Sr2 0.787 0.750 0.499
Sr3 0.287 0.750 0.001
Sr4 0.213 0.250 0.501
Co1 0.425 0.250 0.001
Co2 0.075 0.750 0.501
Co3 0.575 0.750 0.999
Co4 0.925 0.250 0.499
```

No. 9
Compound: SrCoI
Source: the Alexandria database
Functional: GGA-PBE
Structure: optimized geometry

Computed properties:
Uncorrected energy = -3.60 eV per atom
Magnetic moment = 0.00 μB/f.u.
SG = P-6m2 (187)
Uncorrected formation energy = -0.16 eV/atom

Cell and atoms, written as CIF:
```
data_SrCoI
_chemical_formula_sum 'Sr2 Co2 I2'
_cell_length_a 6.305
_cell_length_b 6.305
_cell_length_c 6.305
_cell_angle_alpha 72.83
_cell_angle_beta 139.98
_cell_angle_gamma 93.50
_space_group_name_H-M_alt 'P 1'
_space_group_IT_number 1
_space_group_name_Hall 'P 1'
loop_
_atom_site_label
_atom_site_fract_x
_atom_site_fract_y
_atom_site_fract_z
I1 0.615 0.045 0.837
I2 0.115 0.545 0.837
Sr1 0.365 0.628 0.503
Sr2 0.865 0.128 0.503
Co1 0.615 0.712 0.170
Co2 0.115 0.212 0.170
```

No. 10
Compound: SrCo3I
Source: the Alexandria database
Functional: GGA-PBE
Structure: optimized geometry

Computed properties:
Uncorrected energy = -2.88 eV per atom
Magnetic moment = 4.01 μB/f.u.
SG = Pm-3m (221)
Uncorrected formation energy = 2.03 eV/atom
Energy above the lowest structure with this stoichiometry = 1.146 eV/atom

Cell and atoms, written as CIF:
```
data_SrCo3I
_chemical_formula_sum 'Sr1 Co3 I1'
_cell_length_a 5.035
_cell_length_b 5.035
_cell_length_c 5.035
_cell_angle_alpha 90.00
_cell_angle_beta 90.00
_cell_angle_gamma 90.00
_space_group_name_H-M_alt 'P 1'
_space_group_IT_number 1
_space_group_name_Hall 'P 1'
loop_
_atom_site_label
_atom_site_fract_x
_atom_site_fract_y
_atom_site_fract_z
I1 0.500 0.500 0.500
Sr1 0.000 0.000 0.000
Co1 0.000 0.500 0.000
Co2 0.000 0.000 0.500
Co3 0.500 0.000 0.000
```

No. 11
Compound: SrCoI
Source: the Alexandria database
Functional: GGA-PBE
Structure: optimized geometry

Computed properties:
Uncorrected energy = -3.32 eV per atom
Magnetic moment = 1.09 μB/f.u.
SG = P4/nmm (129)
Uncorrected formation energy = 0.12 eV/atom

Cell and atoms, written as CIF:
```
data_SrCoI
_chemical_formula_sum 'Sr2 Co2 I2'
_cell_length_a 5.082
_cell_length_b 5.082
_cell_length_c 6.448
_cell_angle_alpha 90.00
_cell_angle_beta 90.00
_cell_angle_gamma 90.00
_space_group_name_H-M_alt 'P 1'
_space_group_IT_number 1
_space_group_name_Hall 'P 1'
loop_
_atom_site_label
_atom_site_fract_x
_atom_site_fract_y
_atom_site_fract_z
I1 0.000 0.000 0.500
I2 0.500 0.500 0.500
Sr1 0.000 0.500 0.852
Sr2 0.500 0.000 0.148
Co1 0.000 0.500 0.342
Co2 0.500 0.000 0.658
```

No. 12
Compound: SrCoI
Source: the Alexandria database
Functional: GGA-PBE
Structure: optimized geometry

Computed properties:
Uncorrected energy = -3.81 eV per atom
Magnetic moment = 1.21 μB/f.u.
SG = Cm (8)
Uncorrected formation energy = -0.36 eV/atom

Cell and atoms, written as CIF:
```
data_SrCoI
_chemical_formula_sum 'Sr2 Co2 I2'
_cell_length_a 4.147
_cell_length_b 5.611
_cell_length_c 9.668
_cell_angle_alpha 83.13
_cell_angle_beta 102.38
_cell_angle_gamma 68.32
_space_group_name_H-M_alt 'P 1'
_space_group_IT_number 1
_space_group_name_Hall 'P 1'
loop_
_atom_site_label
_atom_site_fract_x
_atom_site_fract_y
_atom_site_fract_z
I1 0.209 0.171 0.317
I2 0.797 0.370 0.692
Sr1 0.513 0.260 0.014
Sr2 0.001 0.843 0.572
Co1 0.703 0.723 0.857
Co2 0.124 0.901 0.876
```